DFT (GGA-PBE) results for an optimized crystal structure of Mn3SbH. Values from VASP.

The structure in Quantum ESPRESSO input format:
```
&SYSTEM
  ibrav = 0, nat = 10, ntyp = 3
/
ATOMIC_SPECIES
Mn 54.94 Mn.upf
Sb 121.76 Sb.upf
H 1.01 H.upf
CELL_PARAMETERS angstrom
3.989 0.000 0.000
1.925 3.494 0.000
1.978 1.129 9.432
ATOMIC_POSITIONS angstrom
Mn 0.000 0.000 0.000
Mn 1.996 1.128 7.090
Mn 1.991 1.153 1.435
Mn 3.988 2.297 8.273
Mn 3.900 2.280 1.407
Mn 5.913 3.436 8.198
Sb 3.991 2.306 5.737
Sb 5.898 3.463 2.909
H 3.783 3.463 0.116
H 5.017 1.857 0.117
```

Values from the calculation:
Energy above the lowest structure with this stoichiometry (eV per formula unit): 0.744
Fermi-level density of states (states/eV/cell): 9.6
Total magnetic moment (μB/f.u.): 0.1


DFT (GGA-PBE) results for an optimized crystal structure of Mn3SbH. Values from VASP.

The structure in Quantum ESPRESSO input format:
```
&SYSTEM
  ibrav = 0, nat = 10, ntyp = 3
/
ATOMIC_SPECIES
Mn 54.94 Mn.upf
Sb 121.76 Sb.upf
H 1.01 H.upf
CELL_PARAMETERS angstrom
5.740 -1.866 0.000
5.740 1.866 0.000
-1.990 0.000 5.397
ATOMIC_POSITIONS angstrom
Mn -0.005 0.000 2.096
Mn 1.895 0.000 3.444
Mn 3.774 0.000 1.876
Mn 5.716 0.000 3.521
Mn 7.595 0.000 1.953
Mn 9.496 0.000 3.301
Sb 1.555 0.000 0.019
Sb 7.935 0.000 5.378
H 3.802 0.000 3.625
H 5.689 0.000 1.772
```

Values from the calculation:
Energy above the lowest structure with this stoichiometry (eV per formula unit): 0.432
Fermi-level density of states (states/eV/cell): 6.1
Total magnetic moment (μB/f.u.): 0.0


DFT (GGA-PBE) results for an optimized crystal structure of Sc2MnSbH. Values from VASP.

The structure in Quantum ESPRESSO input format:
```
&SYSTEM
  ibrav = 0, nat = 5, ntyp = 4
/
ATOMIC_SPECIES
Sc 44.96 Sc.upf
Mn 54.94 Mn.upf
Sb 121.76 Sb.upf
H 1.01 H.upf
CELL_PARAMETERS angstrom
4.455 0.000 0.000
0.000 4.455 0.000
0.000 0.000 4.003
ATOMIC_POSITIONS angstrom
Sc 0.000 2.228 0.000
Sc 2.228 0.000 0.000
Mn 0.000 0.000 2.001
Sb 2.228 2.228 2.001
H 0.000 0.000 0.000
```

Values from the calculation:
Final energy (eV/atom): -6.301
Fermi-level density of states (states/eV/cell): 3.3
Total magnetic moment (μB/f.u.): 1.8


DFT (GGA-PBE) results for an optimized crystal structure of MnSnSb2H. Values from VASP.

The structure in Quantum ESPRESSO input format:
```
&SYSTEM
  ibrav = 0, nat = 5, ntyp = 4
/
ATOMIC_SPECIES
Mn 54.94 Mn.upf
Sn 118.71 Sn.upf
Sb 121.76 Sb.upf
H 1.01 H.upf
CELL_PARAMETERS angstrom
5.430 0.000 0.000
0.000 5.430 0.000
0.000 0.000 4.906
ATOMIC_POSITIONS angstrom
Mn 0.000 0.000 0.000
Sn 0.000 0.000 2.453
Sb 0.000 2.715 2.453
Sb 2.715 0.000 2.453
H 2.715 2.715 0.000
```

Values from the calculation:
Final energy (eV/atom): -3.573
Fermi-level density of states (states/eV/cell): 3.6
Total magnetic moment (μB/f.u.): 4.8